AcZr: optimized geometry, PBE-GGA.

a b c (Å): 9.0868 7.5369 5.8607
angles (deg): 90.00 90.00 102.72
With the nearest neighbours (Å) after each atom.
Positions (direct):
Zr1 0.5396 0.9160 0.5000  2 Zr 2.92-3.24
Zr2 0.6656 0.7474 0.0000  2 Zr 2.92-3.17
Zr3 0.5566 0.3080 0.5000  2 Zr 2.92-3.17
Zr4 0.9947 0.9984 0.0000  2 Zr 3.17-3.24, 3 Ac 3.44-3.48
Zr5 0.6826 0.1395 0.0000  2 Zr 2.92-3.24
Ac1 0.3711 0.3484 0.0000  7 Zr 3.43-3.83, 3 Ac 3.52-3.61
Ac2 0.8855 0.1816 0.5000  7 Zr 3.33-3.48, 1 Ac 3.52
Zr6 0.2275 0.0572 0.5000  2 Zr 3.17-3.24, 3 Ac 3.44-3.48
Ac3 0.9725 0.4995 0.0000  3 Zr 3.34-3.72, 2 Ac 3.61
Ac4 0.2498 0.5560 0.5000  3 Zr 3.34-3.72, 2 Ac 3.61
Ac5 0.3367 0.8741 0.0000  7 Zr 3.33-3.48, 1 Ac 3.52
Ac6 0.8512 0.7072 0.5000  7 Zr 3.43-3.83, 3 Ac 3.52-3.61

Output
Uncorrected energy ... -6.0073 eV/atom
Magnetization ... 0.02 Bohr magnetons per cell